No. 1
{"formula": "LiPmTe", "functional": "PBE-GGA", "state": "optimized geometry", "lattice": [[0.000, 3.511, 3.511], [3.511, 0.000, 3.511], [3.511, 3.511, 0.000]], "species": ["Li", "Pm", "Te"], "frac_coords": [[0.000, 0.000, 0.000], [0.500, 0.500, 0.500], [0.250, 0.250, 0.250]], "de_polymorph_ev_per_atom": 0.0000, "space_group": "F-43m, No. 216", "total_magnetization_mub_per_cell": 0.0}

---

No. 2
{"formula": "LiPmTm", "functional": "PBE-GGA", "state": "optimized geometry", "lattice": [[0.000, 3.567, 3.567], [3.567, 0.000, 3.567], [3.567, 3.567, 0.000]], "species": ["Li", "Pm", "Tm"], "frac_coords": [[0.000, 0.000, 0.000], [0.750, 0.750, 0.750], [0.250, 0.250, 0.250]], "de_polymorph_ev_per_atom": 0.0000, "space_group": "F-43m, No. 216", "total_magnetization_mub_per_cell": 0.1}

---

No. 3
{"formula": "LiPmU", "functional": "PBE-GGA", "state": "optimized geometry", "lattice": [[0.000, 3.463, 3.463], [3.463, 0.000, 3.463], [3.463, 3.463, 0.000]], "species": ["Li", "Pm", "U"], "frac_coords": [[0.000, 0.000, 0.000], [0.250, 0.250, 0.250], [0.750, 0.750, 0.750]], "de_polymorph_ev_per_atom": 0.0000, "space_group": "F-43m, No. 216", "total_magnetization_mub_per_cell": 4.2}